[1]
# BaCuPb

A PBEsol-optimized structure of BaCuPb (SCAN, Alexandria via LeMat-Bulk).

```
data_BaCuPb
_cell_length_a 7.371
_cell_length_b 7.371
_cell_length_c 7.371
_cell_angle_alpha 90.00
_cell_angle_beta 90.00
_cell_angle_gamma 90.00
_space_group_name_H-M_alt 'F -4 3 m'
_space_group_IT_number 216
_space_group_name_Hall 'F -4 2 3'
loop_
_atom_site_label
_atom_site_fract_x
_atom_site_fract_y
_atom_site_fract_z
Ba1 0.000 0.000 0.000
Cu1 0.000 0.000 0.500
Pb1 0.250 0.250 0.250
```

=====

[2]
# BaCuPd2

A PBEsol-optimized structure of BaCuPd2 (SCAN, Alexandria via LeMat-Bulk).

```
data_BaCuPd2
_cell_length_a 6.811
_cell_length_b 6.811
_cell_length_c 6.811
_cell_angle_alpha 90.00
_cell_angle_beta 90.00
_cell_angle_gamma 90.00
_space_group_name_H-M_alt 'F m -3 m'
_space_group_IT_number 225
_space_group_name_Hall '-F 4 2 3'
loop_
_atom_site_label
_atom_site_fract_x
_atom_site_fract_y
_atom_site_fract_z
Ba1 0.000 0.000 0.000
Cu1 0.000 0.000 0.500
Pd1 0.250 0.250 0.250
```

=====

[3]
# BaCuPt

A PBEsol-optimized structure of BaCuPt (SCAN, Alexandria via LeMat-Bulk).

```
data_BaCuPt
_cell_length_a 4.3178
_cell_length_b 4.3178
_cell_length_c 4.4667
_cell_angle_alpha 90.00
_cell_angle_beta 90.00
_cell_angle_gamma 120.00
_space_group_name_H-M_alt 'P -6 m 2'
_space_group_IT_number 187
_space_group_name_Hall 'P -6 2'
loop_
_atom_site_label
_atom_site_fract_x
_atom_site_fract_y
_atom_site_fract_z
Ba1 0.0000 0.0000 0.0000
Cu1 0.3333 0.6667 0.5000
Pt1 0.6667 0.3333 0.5000
```

=====

[4]
# BaCu3Pt

A PBEsol-optimized structure of BaCu3Pt (SCAN, Alexandria via LeMat-Bulk).

```
data_BaCu3Pt
_cell_length_a 4.774
_cell_length_b 4.774
_cell_length_c 4.774
_cell_angle_alpha 90.00
_cell_angle_beta 90.00
_cell_angle_gamma 90.00
_space_group_name_H-M_alt 'P m -3 m'
_space_group_IT_number 221
_space_group_name_Hall '-P 4 2 3'
loop_
_atom_site_label
_atom_site_fract_x
_atom_site_fract_y
_atom_site_fract_z
Ba1 0.000 0.000 0.000
Cu1 0.000 0.500 0.500
Pt1 0.500 0.500 0.500
```

=====

[5]
# BaCu2Pt

A PBEsol-optimized structure of BaCu2Pt (SCAN, Alexandria via LeMat-Bulk).

Computed properties:
* distance to the lowest polymorph of the same formula: 0.00 eV per formula unit

```
data_BaCu2Pt
_cell_length_a 4.3269
_cell_length_b 4.3269
_cell_length_c 15.8862
_cell_angle_alpha 90.00
_cell_angle_beta 90.00
_cell_angle_gamma 120.00
_space_group_name_H-M_alt 'R -3 m'
_space_group_IT_number 166
_space_group_name_Hall '-R 3 2"'
loop_
_atom_site_label
_atom_site_fract_x
_atom_site_fract_y
_atom_site_fract_z
Ba1 0.0000 0.0000 0.0000
Cu1 0.0000 0.0000 0.1873
Pt1 0.0000 0.0000 0.5000
```

=====

[6]
# BaCu2Pt

A PBEsol-optimized structure of BaCu2Pt (SCAN, Alexandria via LeMat-Bulk).

Computed properties:
* distance to the lowest polymorph of the same formula: 0.01 eV per formula unit

```
data_BaCu2Pt
_cell_length_a 4.3155
_cell_length_b 4.3155
_cell_length_c 16.2154
_cell_angle_alpha 90.00
_cell_angle_beta 90.00
_cell_angle_gamma 120.00
_space_group_name_H-M_alt 'R 3 m'
_space_group_IT_number 160
_space_group_name_Hall 'R 3 -2"'
loop_
_atom_site_label
_atom_site_fract_x
_atom_site_fract_y
_atom_site_fract_z
Ba1 0.0000 0.0000 0.0000
Cu1 0.0000 0.0000 0.1828
Cu2 0.0000 0.0000 0.4951
Pt1 0.0000 0.0000 0.8091
```

=====

[7]
# Ba3CuPt

A PBEsol-optimized structure of Ba3CuPt (SCAN, Alexandria via LeMat-Bulk).

```
data_Ba3CuPt
_cell_length_a 5.764
_cell_length_b 5.764
_cell_length_c 5.764
_cell_angle_alpha 90.00
_cell_angle_beta 90.00
_cell_angle_gamma 90.00
_space_group_name_H-M_alt 'P m -3 m'
_space_group_IT_number 221
_space_group_name_Hall '-P 4 2 3'
loop_
_atom_site_label
_atom_site_fract_x
_atom_site_fract_y
_atom_site_fract_z
Ba1 0.000 0.000 0.500
Cu1 0.000 0.000 0.000
Pt1 0.500 0.500 0.500
```

=====

[8]
# BaCu2Pt

A PBEsol-optimized structure of BaCu2Pt (SCAN, Alexandria via LeMat-Bulk).

Computed properties:
* distance to the lowest polymorph of the same formula: 0.67 eV per formula unit

```
data_BaCu2Pt
_cell_length_a 4.537
_cell_length_b 4.403
_cell_length_c 4.680
_cell_angle_alpha 90.00
_cell_angle_beta 90.07
_cell_angle_gamma 90.00
_space_group_name_H-M_alt 'P 1 2/m 1'
_space_group_IT_number 10
_space_group_name_Hall '-P 2y'
loop_
_atom_site_label
_atom_site_fract_x
_atom_site_fract_y
_atom_site_fract_z
Ba1 0.000 0.000 0.000
Cu1 0.500 0.500 0.249
Pt1 0.500 0.000 0.500
```

=====

[9]
# Rb2BaCu2

A PBEsol-optimized structure of Rb2BaCu2 (SCAN, Alexandria via LeMat-Bulk).

```
data_Rb2BaCu2
_cell_length_a 4.878
_cell_length_b 4.878
_cell_length_c 14.960
_cell_angle_alpha 90.00
_cell_angle_beta 90.00
_cell_angle_gamma 90.00
_space_group_name_H-M_alt 'I 4/m m m'
_space_group_IT_number 139
_space_group_name_Hall '-I 4 2'
loop_
_atom_site_label
_atom_site_fract_x
_atom_site_fract_y
_atom_site_fract_z
Rb1 0.000 0.500 0.250
Ba1 0.000 0.000 0.000
Cu1 0.000 0.000 0.422
```

=====

[10]
# BaCu2Re

A PBEsol-optimized structure of BaCu2Re (SCAN, Alexandria via LeMat-Bulk).

Computed properties:
* distance to the lowest polymorph of the same formula: 1.23 eV per formula unit

```
data_BaCu2Re
_cell_length_a 4.927
_cell_length_b 4.927
_cell_length_c 2.896
_cell_angle_alpha 90.00
_cell_angle_beta 90.00
_cell_angle_gamma 90.00
_space_group_name_H-M_alt 'P 4/m m m'
_space_group_IT_number 123
_space_group_name_Hall '-P 4 2'
loop_
_atom_site_label
_atom_site_fract_x
_atom_site_fract_y
_atom_site_fract_z
Ba1 0.000 0.000 0.000
Cu1 0.000 0.500 0.500
Re1 0.500 0.500 0.000
```

=====

[11]
# BaCu2Re

A PBEsol-optimized structure of BaCu2Re (SCAN, Alexandria via LeMat-Bulk).

Computed properties:
* distance to the lowest polymorph of the same formula: 0.00 eV per formula unit

```
data_BaCu2Re
_cell_length_a 2.941
_cell_length_b 3.488
_cell_length_c 7.159
_cell_angle_alpha 90.00
_cell_angle_beta 90.00
_cell_angle_gamma 90.00
_space_group_name_H-M_alt 'P m m m'
_space_group_IT_number 47
_space_group_name_Hall '-P 2 2'
loop_
_atom_site_label
_atom_site_fract_x
_atom_site_fract_y
_atom_site_fract_z
Ba1 0.000 0.000 0.000
Cu1 0.500 0.500 0.330
Re1 0.000 0.000 0.500
```

=====

[12]
# BaCu2Re

A PBEsol-optimized structure of BaCu2Re (SCAN, Alexandria via LeMat-Bulk).

Computed properties:
* distance to the lowest polymorph of the same formula: 0.47 eV per formula unit

```
data_BaCu2Re
_cell_length_a 2.908
_cell_length_b 4.071
_cell_length_c 6.569
_cell_angle_alpha 90.00
_cell_angle_beta 99.41
_cell_angle_gamma 90.00
_space_group_name_H-M_alt 'P 1 m 1'
_space_group_IT_number 6
_space_group_name_Hall 'P -2y'
loop_
_atom_site_label
_atom_site_fract_x
_atom_site_fract_y
_atom_site_fract_z
Ba1 0.000 0.000 0.000
Cu1 0.624 0.500 0.305
Cu2 0.682 0.000 0.521
Re1 0.245 0.500 0.623
```

=====

Table of theoretical density (g/cm³), in record order: 6.77 8.70 9.12 7.98 8.89 8.75 5.81 8.16 4.06 10.64 10.19 9.75
Table of energy of formation (eV per atom), in record order: 0.158 0.106 -0.514 0.019 -0.373 -0.370 0.207 -0.206 0.357 0.991 0.684 0.803